No. 1
DFT (PBE) results for a relaxed structure of ScBeRe2.

- DFT formation energy: 0.08 eV/atom

Lattice parameters (Å, degrees): 3.2597 4.3622 8.1110 90.00 90.00 90.00
Closest atoms and distances in Å follow each position.
Fractional positions:
Sc 0.0000 0.0000 0.0000  4 Sc 2.72, 4 Re 2.84
Sc 0.5000 0.5000 0.0000  4 Sc 2.72, 4 Re 2.84
Be 0.0000 0.0000 0.5000  4 Re 2.38
Be 0.5000 0.5000 0.5000  4 Re 2.38
Re 0.0000 0.5000 0.2867  2 Be 2.38
Re 0.0000 0.5000 0.7133  2 Be 2.38
Re 0.5000 0.0000 0.2867  2 Be 2.38
Re 0.5000 0.0000 0.7133  2 Be 2.38

=====

No. 2
DFT (PBE) results for a relaxed structure of V2GaNiP.

- DFT formation energy: 1.40 eV/atom

Lattice parameters (Å, degrees): 4.6912 4.6912 4.3899 90.00 90.00 90.00
Closest atoms and distances in Å follow each position.
Fractional positions:
V 0.0000 0.5000 0.0000  2 Ga 2.35
V 0.5000 0.0000 0.0000  2 Ga 2.35
Ga 0.0000 0.0000 0.0000  2 P 2.19, 4 V 2.35
Ni 0.5000 0.5000 0.5000  8 V 3.21, 4 P 3.32
P 0.0000 0.0000 0.5000  2 Ga 2.19

=====

No. 3
DFT (PBE) results for a relaxed structure of Sm4GaTe3.

- Formation energy (no corrections): -1.232 eV/atom
- Excess energy over the best structure of this formula in the dataset: 10 meV/atom

Lattice parameters (Å, degrees): 8.8962 12.4839 4.3858 90.00 90.00 90.00
Closest atoms and distances in Å follow each position.
Fractional positions:
Sm 0.0000 0.2370 0.0000  1 Ga 2.96, 5 Te 3.13-3.28
Sm 0.0000 0.7630 0.0000  1 Ga 2.96, 5 Te 3.13-3.28
Sm 0.2315 0.0000 0.5000  2 Ga 3.01, 4 Te 3.13-3.24
Sm 0.2685 0.5000 0.5000  2 Ga 3.01, 4 Te 3.13-3.24
Sm 0.5000 0.2630 0.0000  1 Ga 2.96, 5 Te 3.13-3.28
Sm 0.5000 0.7370 0.0000  1 Ga 2.96, 5 Te 3.13-3.28
Sm 0.7315 0.5000 0.5000  2 Ga 3.01, 4 Te 3.13-3.24
Sm 0.7685 0.0000 0.5000  2 Ga 3.01, 4 Te 3.13-3.24
Ga 0.0000 0.0000 0.0000  6 Sm 2.96-3.01
Ga 0.5000 0.5000 0.0000  6 Sm 2.96-3.01
Te 0.0000 0.5000 0.0000  6 Sm 3.24-3.28
Te 0.2500 0.2500 0.5000  6 Sm 3.13
Te 0.2500 0.7500 0.5000  6 Sm 3.13
Te 0.5000 0.0000 0.0000  6 Sm 3.24-3.28
Te 0.7500 0.2500 0.5000  6 Sm 3.13
Te 0.7500 0.7500 0.5000  6 Sm 3.13

=====

No. 4
DFT (PBE) results for a relaxed structure of HfMnCr4.

- DFT formation energy: 0.08 eV/atom

Lattice parameters (Å, degrees): 4.8725 4.8725 4.8725 60.00 60.00 60.00
Closest atoms and distances in Å follow each position.
Fractional positions:
Hf 0.0000 0.0000 0.0000  12 Cr 2.86, 4 Mn 2.98
Mn 0.2500 0.2500 0.2500  12 Cr 2.86, 4 Hf 2.98
Cr 0.1237 0.6254 0.6254  6 Cr 2.43-2.44
Cr 0.6254 0.1237 0.6254  6 Cr 2.43-2.44
Cr 0.6254 0.6254 0.1237  6 Cr 2.43-2.44
Cr 0.6254 0.6254 0.6254  6 Cr 2.43-2.44

=====

No. 5
DFT (PBE) results for a relaxed structure of NpPtRhAu.

- Excess energy over the best structure of this formula in the dataset: 0 meV/atom
- DFT formation energy: -0.41 eV/atom

Lattice parameters (Å, degrees): 3.9103 4.1845 4.4327 90.00 90.00 90.00
Closest atoms and distances in Å follow each position.
Fractional positions:
Np 0.0000 0.0000 0.0000  4 Rh 2.86, 4 Pt 2.96, 4 Au 3.05
Pt 0.5000 0.0000 0.5000  4 Au 2.86, 4 Np 2.96, 4 Rh 3.05
Rh 0.5000 0.5000 0.0000  4 Np 2.86, 4 Au 2.96, 4 Pt 3.05
Au 0.0000 0.5000 0.5000  4 Pt 2.86, 4 Rh 2.96, 4 Np 3.05

=====

No. 6
DFT (PBE) results for a relaxed structure of Ba2TiBiSb.

- Formation energy (no corrections): -0.194 eV/atom
- Excess energy over the best structure of this formula in the dataset: 0 meV/atom

Lattice parameters (Å, degrees): 6.5523 6.5523 5.2431 90.00 90.00 90.00
Closest atoms and distances in Å follow each position.
Fractional positions:
Ba 0.0000 0.5000 0.0000  2 Sb 3.28
Ba 0.5000 0.0000 0.0000  2 Sb 3.28
Ti 0.0000 0.0000 0.5000  2 Sb 2.62
Bi 0.5000 0.5000 0.5000  8 Ba 4.20, 4 Ti 4.63
Sb 0.0000 0.0000 0.0000  2 Ti 2.62

=====

No. 7
DFT (PBE) results for a relaxed structure of KTa2TcIr.

- DFT formation energy: 1.38 eV/atom

Lattice parameters (Å, degrees): 4.9518 4.9518 4.9056 90.00 90.00 90.00
Closest atoms and distances in Å follow each position.
Fractional positions:
K 0.0000 0.0000 0.0000  8 Ta 3.49, 4 Tc 3.50
Ta 0.0000 0.5000 0.5000  2 Ir 2.48
Ta 0.5000 0.0000 0.5000  2 Ir 2.48
Tc 0.5000 0.5000 0.0000  2 Ir 2.45
Ir 0.5000 0.5000 0.5000  2 Tc 2.45, 4 Ta 2.48

=====

No. 8
DFT (PBE) results for a relaxed structure of NiW2Se.

- Formation energy (no corrections): 0.278 eV/atom

Lattice parameters (Å, degrees): 3.2283 3.2283 5.8245 90.00 90.00 90.00
Closest atoms and distances in Å follow each position.
Fractional positions:
Ni 0.0000 0.0000 0.0000  5 W 2.61-2.75, 4 Se 2.69
W 0.0000 0.0000 0.5279  4 W 2.72, 1 Ni 2.75, 4 Se 2.82
W 0.5000 0.5000 0.7818  4 Ni 2.61, 1 Se 2.69, 4 W 2.72
Se 0.5000 0.5000 0.2439  4 Ni 2.69, 5 W 2.69-2.82

=====

No. 9
DFT (PBE) results for a relaxed structure of CaLaSb2.

- Formation energy (no corrections): -0.935 eV/atom
- Excess energy over the best structure of this formula in the dataset: 40 meV/atom

Lattice parameters (Å, degrees): 7.1059 8.1755 4.1328 90.00 90.00 90.00
Closest atoms and distances in Å follow each position.
Fractional positions:
Ca 0.0000 0.0000 0.0000  8 Sb 3.41, 2 La 3.55
Ca 0.5000 0.5000 0.0000  8 Sb 3.41, 2 La 3.55
La 0.0000 0.5000 0.0000  8 Sb 3.41, 2 Ca 3.55
La 0.5000 0.0000 0.0000  8 Sb 3.41, 2 Ca 3.55
Sb 0.2500 0.2500 0.5000  4 La 3.41, 4 Ca 3.41, 2 Sb 3.55
Sb 0.2500 0.7500 0.5000  4 La 3.41, 4 Ca 3.41, 2 Sb 3.55
Sb 0.7500 0.2500 0.5000  4 La 3.41, 4 Ca 3.41, 2 Sb 3.55
Sb 0.7500 0.7500 0.5000  4 La 3.41, 4 Ca 3.41, 2 Sb 3.55

=====

No. 10
DFT (PBE) results for a relaxed structure of TcAg.

- Excess energy over the best structure of this formula in the dataset: 173 meV/atom
- DFT formation energy: 0.35 eV/atom

Lattice parameters (Å, degrees): 9.3849 2.8027 8.1444 90.00 114.13 90.00
Closest atoms and distances in Å follow each position.
Fractional positions:
Tc 0.0000 0.0000 0.0000  8 Tc 2.66-2.84, 4 Ag 2.85
Tc 0.1696 0.5000 0.8662  6 Tc 2.51-2.80
Tc 0.3304 0.0000 0.1338  6 Tc 2.51-2.80
Tc 0.5000 0.5000 0.0000  8 Tc 2.66-2.84, 4 Ag 2.85
Tc 0.6696 0.0000 0.8662  6 Tc 2.51-2.80
Tc 0.8304 0.5000 0.1338  6 Tc 2.51-2.80
Ag 0.0000 0.0000 0.5000  8 Ag 2.80-2.88, 4 Tc 3.08
Ag 0.1700 0.5000 0.3276  7 Ag 2.80-2.94, 5 Tc 2.85-2.94
Ag 0.3300 0.0000 0.6724  7 Ag 2.80-2.94, 5 Tc 2.85-2.94
Ag 0.5000 0.5000 0.5000  8 Ag 2.80-2.88, 4 Tc 3.08
Ag 0.6700 0.0000 0.3276  7 Ag 2.80-2.94, 5 Tc 2.85-2.94
Ag 0.8300 0.5000 0.6724  7 Ag 2.80-2.94, 5 Tc 2.85-2.94

=====

No. 11
DFT (PBE) results for a relaxed structure of Pu2Ga2Se7.

- Formation energy (no corrections): -0.729 eV/atom

Lattice parameters (Å, degrees): 7.1924 7.1924 6.6763 97.24 97.24 102.49
Closest atoms and distances in Å follow each position.
Fractional positions:
Pu 0.1956 0.8044 0.0000  6 Se 2.80-2.91
Pu 0.8044 0.1956 0.0000  6 Se 2.80-2.91
Ga 0.2597 0.2597 0.6021  4 Se 2.40-2.48
Ga 0.7403 0.7403 0.3979  4 Se 2.40-2.48
Se 0.0433 0.4226 0.7600  1 Ga 2.41
Se 0.1086 0.1086 0.2470  1 Ga 2.48
Se 0.4226 0.0433 0.7600  1 Ga 2.41
Se 0.5000 0.5000 0.5000  2 Ga 2.40
Se 0.5774 0.9567 0.2400  1 Ga 2.41
Se 0.8914 0.8914 0.7530  1 Ga 2.48
Se 0.9567 0.5774 0.2400  1 Ga 2.41

=====

No. 12
DFT (PBE) results for a relaxed structure of Mo5Ir6Rh.

- DFT formation energy: -0.27 eV/atom

Lattice parameters (Å, degrees): 7.3077 7.3077 7.3077 148.93 115.31 73.49
Closest atoms and distances in Å follow each position.
Fractional positions:
Mo 0.0000 0.0000 0.0000  8 Ir 2.75-2.77, 4 Mo 2.76
Mo 0.1656 0.6656 0.5000  8 Ir 2.74-2.77, 4 Mo 2.76
Mo 0.3314 0.3314 0.0000  8 Ir 2.75-2.79, 2 Mo 2.76, 2 Rh 2.78
Mo 0.6686 0.6686 0.0000  8 Ir 2.75-2.79, 2 Mo 2.76, 2 Rh 2.78
Mo 0.8344 0.3344 0.5000  8 Ir 2.74-2.77, 4 Mo 2.76
Ir 0.0839 0.8332 0.2506  7 Mo 2.75-2.77, 1 Rh 2.76, 4 Ir 2.76-2.77
Ir 0.2475 0.5000 0.7475  6 Mo 2.74-2.79, 4 Ir 2.77, 2 Rh 2.78
Ir 0.4174 0.1668 0.2506  7 Mo 2.75-2.77, 1 Rh 2.76, 4 Ir 2.76-2.77
Ir 0.5826 0.8332 0.7494  7 Mo 2.75-2.77, 1 Rh 2.76, 4 Ir 2.76-2.77
Ir 0.7525 0.5000 0.2525  6 Mo 2.74-2.79, 4 Ir 2.77, 2 Rh 2.78
Ir 0.9161 0.1668 0.7494  7 Mo 2.75-2.77, 1 Rh 2.76, 4 Ir 2.76-2.77
Rh 0.5000 0.0000 0.5000  8 Ir 2.76-2.78, 4 Mo 2.78

=====

Number 1: density of states at the Fermi level 3.45 states/eV/f.u., size of the total moment 0.000 μB/f.u.. Number 2: density of states at the Fermi level 7.50 states/eV/f.u., size of the total moment 4.722 μB/f.u.. Number 3: density of states at the Fermi level 2.87 states/eV/f.u., size of the total moment 0.000 μB/f.u.. Number 4: density of states at the Fermi level 4.34 states/eV/f.u., size of the total moment 2.304 μB/f.u.. Number 5: density of states at the Fermi level 9.89 states/eV/f.u., size of the total moment 3.258 μB/f.u.. Number 6: density of states at the Fermi level 2.60 states/eV/f.u., size of the total moment 2.001 μB/f.u.. Number 7: density of states at the Fermi level 6.32 states/eV/f.u., size of the total moment 0.038 μB/f.u.. Number 8: density of states at the Fermi level 3.83 states/eV/f.u., size of the total moment 0.000 μB/f.u.. Number 9: density of states at the Fermi level 1.72 states/eV/f.u., size of the total moment 0.000 μB/f.u.. Number 10: density of states at the Fermi level 1.67 states/eV/f.u., size of the total moment 0.000 μB/f.u.. Number 11: density of states at the Fermi level 17.97 states/eV/f.u., size of the total moment 7.943 μB/f.u.. Number 12: density of states at the Fermi level 7.85 states/eV/f.u., size of the total moment 0.000 μB/f.u..